FeCo2F | GGA+U | optimized geometry

Summary:
Relative energy among the computed polymorphs in eV/f.u.: 0.000

Unit cell a=6.9339 b=6.9339 c=4.6338 alpha=90.00 beta=90.00 gamma=90.00
Space group I-42d (No. 122)
Inequivalent atoms, fractional coordinates:
Fe: 0.0000 0.0000 0.0000 x4
Co: 0.1853 0.2500 0.6250 x8
F: 0.0000 0.0000 0.5000 x4

FeCo2F4 | GGA+U | optimized geometry

Summary:
Uncorrected energy in eV/f.u.: -32.32

Unit cell a=4.1678 b=4.1678 c=11.3115 alpha=90.00 beta=90.00 gamma=90.00
Space group I4/mmm (No. 139)
Inequivalent atoms, fractional coordinates:
Fe: 0.0000 0.0000 0.0000 x2
Co: 0.0000 0.0000 0.3568 x4
F: 0.0000 0.0000 0.1786 x4
F: 0.0000 0.5000 0.0000 x4